Here is a relaxed structure of CsCeMgCl6 from Alexandria via LeMat-Bulk. Energies are from PBE.

a = 9.7352 Å, b = 9.7352 Å, c = 9.7352 Å
α = 122.05°, β = 117.73°, γ = 90.24°
Positions (direct):
Cs  0.2923  0.0423  0.2500
Cs  0.7077  0.9577  0.7500
Ce  0.0000  0.5000  0.5000
Ce  0.5000  0.5000  0.0000
Mg  0.0000  0.0000  0.5000
Mg  0.0000  0.5000  0.0000
Cl  0.0405  0.7905  0.2500
Cl  0.0507  0.3957  0.2076
Cl  0.0507  0.8431  0.6551
Cl  0.3120  0.1569  0.7076
Cl  0.3120  0.6043  0.1551
Cl  0.3398  0.5898  0.7500
Cl  0.6602  0.4102  0.2500
Cl  0.6880  0.3957  0.8449
Cl  0.6880  0.8431  0.2924
Cl  0.9493  0.1569  0.3449
Cl  0.9493  0.6043  0.7924
Cl  0.9595  0.2095  0.7500

Values from the calculation:
Raw formation energy, meV per atom: -2022
Energy, eV/atom: -4.1841
Space-group type: Imma

Here is a relaxed structure of Sc2Sb2Br from Alexandria via LeMat-Bulk. Energies are from PBE.

a = 6.2684 Å, b = 6.2684 Å, c = 6.2684 Å
α = 129.16°, β = 129.16°, γ = 74.75°
Positions (direct):
Sc  0.2500  0.7500  0.5000
Sc  0.7500  0.2500  0.5000
Sb  0.1430  0.1430  0.0000
Sb  0.8570  0.8570  0.0000
Br  0.5000  0.5000  0.0000

Values from the calculation:
Raw formation energy, meV per atom: -641
Energy, eV/atom: -5.1572
Space-group type: I4/mmm
Relative energy among the computed polymorphs, eV/f.u.: 0.922

Here is a relaxed structure of Fe2Ir9Ru from Alexandria via LeMat-Bulk. Energies are from PBE.

a = 3.8399 Å, b = 3.8399 Å, c = 11.5098 Å
α = 90.00°, β = 90.00°, γ = 90.00°
Positions (direct):
Fe  0.0000  0.0000  0.1651
Fe  0.0000  0.0000  0.8349
Ir  0.0000  0.5000  0.0000
Ir  0.0000  0.5000  0.3326
Ir  0.0000  0.5000  0.6674
Ir  0.5000  0.0000  0.0000
Ir  0.5000  0.0000  0.3326
Ir  0.5000  0.0000  0.6674
Ir  0.5000  0.5000  0.1667
Ir  0.5000  0.5000  0.5000
Ir  0.5000  0.5000  0.8333
Ru  0.0000  0.0000  0.5000

Values from the calculation:
Energy, eV/atom: -8.8645
Space-group type: P4/mmm

Here is a relaxed structure of Fe2CuW from Alexandria via LeMat-Bulk. Energies are from PBE.

a = 4.4662 Å, b = 4.4662 Å, c = 2.6840 Å
α = 90.00°, β = 90.00°, γ = 107.16°
Positions (direct):
Fe  0.0000  0.5000  0.0000
Fe  0.5000  0.0000  0.0000
Cu  0.0000  0.0000  0.5000
W  0.5000  0.5000  0.5000

Values from the calculation:
Energy, eV/atom: -8.2421
Space-group type: Cmmm
Relative energy among the computed polymorphs, eV/f.u.: 0.333

Here is a relaxed structure of SrNp2Pt9 from Alexandria via LeMat-Bulk. Energies are from PBE.

a = 9.4044 Å, b = 9.4044 Å, c = 9.4044 Å
α = 33.68°, β = 33.68°, γ = 33.68°
Positions (direct):
Sr  0.0000  0.0000  0.0000
Np  0.1429  0.1429  0.1429
Np  0.8571  0.8571  0.8571
Pt  0.0812  0.5878  0.5878
Pt  0.3324  0.3324  0.3324
Pt  0.4122  0.4122  0.9188
Pt  0.4122  0.9188  0.4122
Pt  0.5000  0.5000  0.5000
Pt  0.5878  0.0812  0.5878
Pt  0.5878  0.5878  0.0812
Pt  0.6676  0.6676  0.6676
Pt  0.9188  0.4122  0.4122

Values from the calculation:
Energy, eV/atom: -7.4345
Space-group type: R-3m

Here is a relaxed structure of CrIn2BI from Alexandria via LeMat-Bulk. Energies are from PBE.

a = 5.5844 Å, b = 5.5844 Å, c = 4.0407 Å
α = 90.00°, β = 90.00°, γ = 90.00°
Positions (direct):
Cr  0.0000  0.0000  0.0000
In  0.0000  0.5000  0.0000
In  0.5000  0.0000  0.0000
B  0.0000  0.0000  0.5000
I  0.5000  0.5000  0.5000

Values from the calculation:
Raw formation energy, meV per atom: 609
Energy, eV/atom: -4.0570
Space-group type: P4/mmm

| no. | magnetization (μB/f.u.) | density of states at the Fermi level (states/eV per atom) |
| --- | --- | --- |
| 1 | 1.0 | 0.89 |
| 2 | 0.0 | 0.96 |
| 3 | 5.9 | 1.18 |
| 4 | 3.3 | 0.73 |
| 5 | 7.5 | 1.99 |
| 6 | 3.1 | 0.57 |